No. 1
Entry from Alexandria: an optimized crystal structure of Sc3PaMn8 (PBE-GGA).

Summary:
Formation energy from the elements   -0.10 eV/atom
Symmetry   R3m

a = 5.1403 Å, b = 5.1403 Å, c = 8.3237 Å
α = 72.01°, β = 72.01°, γ = 60.00°
Last column: nearest neighbours and their distance in Å.
Positions (direct):
1 Sc 0.3745 0.3745 0.8766  12 Mn 2.83-3.00, 4 Sc 2.91-3.10
2 Sc 0.0025 0.0025 0.9925  12 Mn 2.79-3.00, 1 Pa 3.04, 3 Sc 3.10
3 Sc 0.4990 0.4990 0.5029  12 Mn 2.87-3.01, 1 Sc 2.91, 3 Pa 3.11
4 Pa 0.8724 0.8724 0.3829  12 Mn 2.80-3.00, 4 Sc 3.04-3.11
5 Mn 0.9374 0.4382 0.1861  6 Mn 2.45-2.57
6 Mn 0.4357 0.9383 0.6877  6 Mn 2.44-2.58
7 Mn 0.4382 0.4382 0.1861  6 Mn 2.45-2.57
8 Mn 0.9383 0.9383 0.6877  6 Mn 2.44-2.58
9 Mn 0.1875 0.1875 0.4376  6 Mn 2.44-2.46
10 Mn 0.6880 0.6880 0.9359  6 Mn 2.44-2.45
11 Mn 0.4382 0.9374 0.1861  6 Mn 2.45-2.57
12 Mn 0.9383 0.4357 0.6877  6 Mn 2.44-2.58

No. 2
Entry from Alexandria: an optimized crystal structure of KCeTl2F8 (PBE-GGA).

Summary:
ΔE_f (raw)   -2.76 eV/atom
Symmetry   Pmmm

a = 4.1369 Å, b = 6.1508 Å, c = 8.5112 Å
α = 90.00°, β = 90.00°, γ = 90.01°
Last column: nearest neighbours and their distance in Å.
Positions (direct):
1 K 0.0000 0.0000 0.5000  8 F 2.68-2.86
2 Ce 0.0000 0.0000 0.0000  8 F 2.23-2.41
3 Tl 0.5000 0.5000 0.7338  2 F 2.42
4 Tl 0.5000 0.5000 0.2662  2 F 2.42
5 F 0.0000 0.7743 0.2058  1 Ce 2.23
6 F 0.5000 0.7990 0.0000  2 Ce 2.41, 1 F 2.47
7 F 0.0000 0.2256 0.2058  1 Ce 2.23
8 F 0.0000 0.2257 0.7942  1 Ce 2.23
9 F 0.5000 0.2010 0.0000  2 Ce 2.41, 1 F 2.47
10 F 0.0000 0.7744 0.7942  1 Ce 2.23
11 F 0.4999 0.7228 0.5000  2 Tl 2.42, 2 K 2.68
12 F 0.5001 0.2772 0.5000  2 Tl 2.42, 2 K 2.68

No. 3
Entry from Alexandria: an optimized crystal structure of Li4Pd4Au (PBE-GGA).

Summary:
Formation energy from the elements   -0.36 eV/atom
Symmetry   I4/mmm

a = 3.9395 Å, b = 6.2352 Å, c = 6.2352 Å
α = 84.27°, β = 71.58°, γ = 71.58°
Last column: nearest neighbours and their distance in Å.
Positions (direct):
1 Li 0.6897 0.3103 0.3103  1 Au 2.60, 6 Pd 2.70-2.77
2 Li 0.3103 0.6897 0.6897  1 Au 2.60, 6 Pd 2.70-2.77
3 Li 0.0000 0.6897 0.3103  1 Au 2.60, 6 Pd 2.70-2.77
4 Li 0.0000 0.3103 0.6897  1 Au 2.60, 6 Pd 2.70-2.77
5 Pd 0.6699 0.6602 0.0000  6 Li 2.70-2.77, 4 Pd 2.73-2.84, 2 Au 2.81
6 Pd 0.3301 0.3398 0.0000  6 Li 2.70-2.77, 4 Pd 2.73-2.84, 2 Au 2.81
7 Pd 0.6699 0.0000 0.6602  6 Li 2.70-2.77, 4 Pd 2.73-2.84, 2 Au 2.81
8 Pd 0.3301 0.0000 0.3398  6 Li 2.70-2.77, 4 Pd 2.73-2.84, 2 Au 2.81
9 Au 0.0000 0.0000 0.0000  4 Li 2.60, 8 Pd 2.81

No. 4
Entry from Alexandria: an optimized crystal structure of La2FeRhC (PBE-GGA).

Summary:
Formation energy from the elements   -0.23 eV/atom
Symmetry   P4/mmm

a = 5.2636 Å, b = 5.2636 Å, c = 3.6584 Å
α = 90.00°, β = 90.00°, γ = 90.00°
Last column: nearest neighbours and their distance in Å.
Positions (direct):
1 C 0.0000 0.0000 0.0000  2 Fe 1.83
2 Rh 0.5000 0.5000 0.5000  8 La 3.21
3 Fe 0.0000 0.0000 0.5000  2 C 1.83
4 La 0.0000 0.5000 0.0000  2 C 2.63
5 La 0.5000 0.0000 0.0000  2 C 2.63

No. 5
Entry from Alexandria: an optimized crystal structure of PrNpC (PBE-GGA).

Summary:
Formation energy from the elements   0.21 eV/atom
Symmetry   P3m1

a = 6.4923 Å, b = 3.4758 Å, c = 3.4758 Å
α = 120.00°, β = 90.00°, γ = 90.00°
Last column: nearest neighbours and their distance in Å.
Positions (direct):
1 Np 0.2163 0.6667 0.3333  3 C 2.37
2 Pr 0.7618 0.3333 0.6667  3 C 2.62
3 C 0.0219 0.0000 0.0000  3 Np 2.37, 3 Pr 2.62

No. 6
Entry from Alexandria: an optimized crystal structure of Ga2IrPbI (PBE-GGA).

Summary:
ΔE_f (raw)   -0.30 eV/atom
Symmetry   P4/mmm

a = 4.9348 Å, b = 4.9348 Å, c = 5.4069 Å
α = 90.00°, β = 90.00°, γ = 90.00°
Last column: nearest neighbours and their distance in Å.
Positions (direct):
1 Pb 0.0000 0.0000 0.5000  2 Ir 2.70
2 I 0.5000 0.5000 0.5000  4 Pb 3.49, 8 Ga 3.66
3 Ir 0.0000 0.0000 0.0000  4 Ga 2.47, 2 Pb 2.70
4 Ga 0.0000 0.5000 0.0000  2 Ir 2.47
5 Ga 0.5000 0.0000 0.0000  2 Ir 2.47

Going through the records in order, we get mass density values of 7.52 5.67 7.83 7.35 9.53 8.40 g/cm³.